# Rb3Cu2NiF9

A relaxed structure of Rb3Cu2NiF9 (PBE with a Hubbard U, Alexandria via LeMat-Bulk).

Structure (POSCAR):
```
Rb3Cu2NiF9
1.0
-4.366 3.066 2.422
-0.126 -1.258 -5.721
-3.498 -6.103 1.419
Rb Cu Ni F
3 2 1 9
Direct
0.333 0.667 0.664
0.000 0.000 0.000
0.667 0.333 0.336
0.333 0.667 0.164
0.667 0.333 0.836
0.000 0.000 0.500
0.834 0.166 0.667
0.834 0.668 0.667
0.332 0.166 0.667
0.668 0.834 0.333
0.166 0.332 0.333
0.166 0.834 0.333
0.500 0.000 0.000
0.000 0.500 0.000
0.500 0.500 0.000
```

## Properties
The density of states at the Fermi level is 2.6 states/eV/f.u. The calculation puts the electronic total energy at -4.2149 eV/atom. Its crystal system is trigonal.